Below is a relaxed TbTlPd crystal, with properties calculated at the PBE level.

## Properties
Volume ... 22.59 Å³ per atom
Final energy ... -4.637 eV/atom
Space group ... No. 194

abc: 4.808 4.808 6.769
angles: 90.00 90.00 120.00
Element x y z (fractional)
Tb 0.000 0.000 0.000
Tb 0.000 0.000 0.500
Tl 0.333 0.667 0.250
Tl 0.667 0.333 0.750
Pd 0.333 0.667 0.750
Pd 0.667 0.333 0.250